Computed, not measured: a relaxed NaAs2P2 crystal at the GGA-PBE level of DFT.

Calculated values
energy above the lowest structure with this stoichiometry	0	meV/atom
E_form	22	kJ/mol of formula units

The structure in CIF format:
```
data_NaAs2P2
_chemical_formula_sum 'Na2 As4 P4'
_cell_length_a 4.7887
_cell_length_b 4.7887
_cell_length_c 9.5566
_cell_angle_alpha 90.00
_cell_angle_beta 90.00
_cell_angle_gamma 90.00
_symmetry_space_group_name_H-M 'I 4/m m m'
_symmetry_Int_Tables_number 139
_symmetry_space_group_name_Hall '-I 4 2'
loop_
_atom_site_label
_atom_site_type_symbol
_atom_site_fract_x
_atom_site_fract_y
_atom_site_fract_z
Na1 Na 0.0000 0.0000 0.0000
As1 As 0.0000 0.0000 0.3372
P1 P 0.0000 0.5000 0.2500
```


Computed, not measured: a relaxed TiPbI2 crystal at the GGA-PBE level of DFT.

Calculated values
energy above the lowest structure with this stoichiometry	0	meV/atom
formation energy (no corrections)	-265	meV per atom

The structure in CIF format:
```
data_TiPbI2
_chemical_formula_sum 'Ti3 Pb3 I6'
_cell_length_a 3.7334
_cell_length_b 3.7334
_cell_length_c 31.6249
_cell_angle_alpha 90.00
_cell_angle_beta 90.00
_cell_angle_gamma 120.00
_symmetry_space_group_name_H-M 'R -3 m'
_symmetry_Int_Tables_number 166
_symmetry_space_group_name_Hall '-R 3 2"'
loop_
_atom_site_label
_atom_site_type_symbol
_atom_site_fract_x
_atom_site_fract_y
_atom_site_fract_z
Ti1 Ti 0.0000 0.0000 0.0000
Pb1 Pb 0.0000 0.0000 0.5000
I1 I 0.0000 0.0000 0.3909
```


Computed, not measured: a relaxed Pr2HoBi crystal at the GGA-PBE level of DFT.

Calculated values
energy above the lowest structure with this stoichiometry	215	meV/atom
E_form	-71	kJ/mol of formula units

The structure in CIF format:
```
data_Pr2HoBi
_chemical_formula_sum 'Pr6 Ho3 Bi3'
_cell_length_a 4.1794
_cell_length_b 4.1794
_cell_length_c 29.0217
_cell_angle_alpha 90.00
_cell_angle_beta 90.00
_cell_angle_gamma 120.00
_symmetry_space_group_name_H-M 'R 3 m'
_symmetry_Int_Tables_number 160
_symmetry_space_group_name_Hall 'R 3 -2"'
loop_
_atom_site_label
_atom_site_type_symbol
_atom_site_fract_x
_atom_site_fract_y
_atom_site_fract_z
Pr1 Pr 0.0000 0.0000 0.0000
Pr2 Pr 0.0000 0.0000 0.1898
Ho1 Ho 0.0000 0.0000 0.4280
Bi1 Bi 0.0000 0.0000 0.5948
```


Computed, not measured: a relaxed Nd5HgGe2 crystal at the GGA-PBE level of DFT.

Calculated values
energy above the lowest structure with this stoichiometry	171	meV/atom
E_form	-315	kJ/mol of formula units

The structure in CIF format:
```
data_Nd5HgGe2
_chemical_formula_sum 'Nd10 Hg2 Ge4'
_cell_length_a 8.7406
_cell_length_b 9.9937
_cell_length_c 6.6238
_cell_angle_alpha 90.00
_cell_angle_beta 131.18
_cell_angle_gamma 90.00
_symmetry_space_group_name_H-M 'C 1 2/m 1'
_symmetry_Int_Tables_number 12
loop_
_symmetry_equiv_pos_as_xyz
'x,y,z'
'-x,-y,-z'
'-x,y,-z'
'x,-y,z'
'x+1/2,y+1/2,z'
'-x+1/2,-y+1/2,-z'
'-x+1/2,y+1/2,-z'
'x+1/2,-y+1/2,z'
loop_
_atom_site_label
_atom_site_type_symbol
_atom_site_fract_x
_atom_site_fract_y
_atom_site_fract_z
Nd1 Nd 0.0000 0.0000 0.0000
Nd2 Nd 0.0000 0.0000 0.5000
Nd3 Nd 0.0000 0.5000 0.0000
Nd4 Nd 0.2500 0.2500 0.5000
Hg1 Hg 0.0000 0.5000 0.5000
Ge1 Ge 0.2500 0.2500 0.0000
```